# Cs2TaGeO6

Crystalline Cs2TaGeO6 at its relaxed geometry (GGA-PBE, Alexandria).

Properties
D(E_F) in states/eV per atom: 0.239
Electronic total energy in eV/atom: -6.627
Total magnetization in μB per formula unit: 1.05

a b c (Å): 6.6877 6.6877 5.2319
angles (deg): 90.00 90.00 120.00
Last column: nearest neighbours and their distance in Å.
Space group P-3m1 (No. 164)
Inequivalent atoms, fractional coordinates:
Cs (0.3333, 0.6667, 0.1964)  9 O 3.29-3.38
Ta (0.0000, 0.0000, 0.5000)  6 O 2.02
Ge (0.0000, 0.0000, 0.0000)  6 O 1.95
O (0.1289, 0.2579, 0.7601)  1 Ge 1.95, 1 Ta 2.02

---

# CsTaGeO5

Crystalline CsTaGeO5 at its relaxed geometry (GGA-PBE, Alexandria).

Properties
D(E_F) in states/eV per atom: 0.000
Electronic total energy in eV/atom: -7.402
Total magnetization in μB per formula unit: 0.00

a b c (Å): 7.4260 9.7174 7.6832
angles (deg): 90.00 117.10 90.00
Last column: nearest neighbours and their distance in Å.
Space group C2/c (No. 15)
Inequivalent atoms, fractional coordinates:
Cs (0.0000, 0.1680, 0.2500)  7 O 2.78-2.89
Ta (0.0000, 0.5000, 0.0000)  6 O 1.97-2.07
Ge (0.0000, 0.1938, 0.7500)  4 O 1.79-1.80
O (0.0000, 0.4546, 0.2500)  2 Ta 1.97
O (0.0744, 0.3062, 0.6089)  1 Ge 1.79
O (0.2115, 0.0821, 0.8876)  1 Ge 1.80

---

# CsTaGe2O8

Crystalline CsTaGe2O8 at its relaxed geometry (GGA-PBE, Alexandria).

Properties
D(E_F) in states/eV per atom: 0.735
Electronic total energy in eV/atom: -6.838
Total magnetization in μB per formula unit: 2.05

a b c (Å): 5.6454 5.6454 8.3686
angles (deg): 90.00 90.00 120.00
Last column: nearest neighbours and their distance in Å.
Space group P-3 (No. 147)
Inequivalent atoms, fractional coordinates:
Cs (0.0000, 0.0000, 0.0000)  12 O 3.33-3.42
Ta (0.0000, 0.0000, 0.5000)  6 O 1.98
Ge (0.3333, 0.6667, 0.7055)  4 O 1.76-1.77
O (0.1502, 0.3266, 0.6388)  1 Ge 1.76
O (0.3333, 0.6667, 0.9169)  1 Ge 1.77